Pa6Ga3Os: optimized geometry, PBE.

POSCAR file:
```
Pa6Ga3Os
1.0
5.451 3.147 4.729
-5.451 3.147 4.729
0.000 -6.294 4.729
Pa Ga Os
12 6 2
Direct
0.106 0.765 0.765
0.164 0.511 0.512
0.235 0.235 0.894
0.235 0.894 0.235
0.488 0.836 0.489
0.489 0.488 0.836
0.511 0.512 0.164
0.512 0.164 0.511
0.765 0.106 0.765
0.765 0.765 0.106
0.836 0.489 0.488
0.894 0.235 0.235
0.118 0.536 0.119
0.119 0.118 0.536
0.464 0.881 0.882
0.536 0.119 0.118
0.881 0.882 0.464
0.882 0.464 0.881
0.000 0.000 0.000
0.500 0.500 0.500
```

Summary:
formation energy	-1.2	kcal/mol of atoms
calculated density	12.2	Mg/m³
crystal system	trigonal